No. 1
AlInS2Cl (PBE, relaxed); uncorrected formation energy = -12.2 kcal/mol of atoms; offset from the most stable computed form = 0.00 eV/f.u.; crystal system = tetragonal
1.0
-4.021 -0.087 -2.444
-1.939 -2.754 3.288
-1.518 3.887 2.360
In Cl S Al
1 1 2 1
Direct
0.500 0.500 0.500
0.000 0.000 0.500
0.000 0.500 0.000
0.500 0.000 0.000
0.000 0.000 0.000

***

No. 2
BaZrHg2 (PBE, relaxed); formation enthalpy at 0 K = 0.340 eV per atom; crystal system = cubic
1.0
5.407 0.000 0.000
2.704 4.683 0.000
2.704 1.561 4.415
Hg Ba Zr
2 1 1
Direct
0.250 0.250 0.250
0.000 0.000 0.000
0.500 0.500 0.500
0.750 0.750 0.750

***

No. 3
BaEr2Al3Zn6 (PBE, relaxed); formation enthalpy at 0 K = -0.207 eV per atom; crystal system = tetragonal
1.0
-3.745 -1.772 0.733
1.380 -3.608 -1.669
4.503 -4.211 12.825
Al Zn Ba Er
3 6 1 2
Direct
0.000 0.000 0.392
0.000 0.000 0.000
0.000 0.000 0.608
0.000 0.000 0.181
0.500 0.000 0.713
0.500 0.000 0.287
0.000 0.500 0.713
0.000 0.500 0.287
0.000 0.000 0.819
0.500 0.500 0.500
0.500 0.500 0.879
0.500 0.500 0.121

***

No. 4
CaP2 (PBE, relaxed); formation enthalpy at 0 K = -0.432 eV per atom; crystal system = tetragonal
1.0
-3.019 3.019 3.779
3.019 -3.019 3.779
3.019 3.019 -3.779
P Ca
4 2
Direct
0.621 0.121 0.742
0.121 0.379 0.500
0.379 0.879 0.258
0.879 0.621 0.500
0.750 0.750 0.000
0.250 0.250 0.000

***

DOS at the Fermi energy per entry: 3.710, 5.062, 6.503, 4.970 states/eV per cell
E per entry: -19.230, -9.716, -32.400, -28.236 eV for the cell shown